[1]
An optimized crystal structure of AcTmPbI, computed with PBE-GGA.

Computed properties:
Total DFT energy (no corrections), eV/atom: -4.0268
E_form (uncorrected), eV/atom: -0.567

Lattice parameters (Å, degrees): 5.6602 5.6602 5.6602 60.00 60.00 60.00
With the nearest neighbours (Å) after each atom.
Element x y z (fractional)
Pb (0.7500, 0.7500, 0.7500)  4 Tm 3.47, 4 Ac 3.47
I (0.2500, 0.2500, 0.2500)  4 Ac 3.47, 4 Tm 3.47
Ac (0.5000, 0.5000, 0.5000)  4 Pb 3.47, 4 I 3.47
Tm (0.0000, 0.0000, 0.0000)  4 I 3.47, 4 Pb 3.47

[2]
An optimized crystal structure of LaBe4, computed with PBE-GGA.

Computed properties:
Total DFT energy (no corrections), eV/atom: -1.5713
Energy of formation, eV/f.u.: 12.0
Excess energy over the best structure of this formula in the dataset, meV/atom: 2244.1

Lattice parameters (Å, degrees): 5.1349 5.1349 5.1349 90.00 90.00 90.00
With the nearest neighbours (Å) after each atom.
Element x y z (fractional)
Be (0.0000, 0.0000, 0.0000)  12 Be 3.63
Be (0.5000, 0.0000, 0.5000)  2 La 2.57
Be (0.0000, 0.5000, 0.5000)  2 La 2.57
Be (0.5000, 0.5000, 0.0000)  2 La 2.57
La (0.5000, 0.5000, 0.5000)  6 Be 2.57